10
Lattice="5.8045 -2.4617 0.0000 5.8045 2.4617 0.0000 -4.9469 0.0000 10.1543" Properties=species:S:1:pos:R:3 comment="PBE-GGA Pr2CdIn2, optimized geometry" space_group=C2/m total_energy_ev_per_atom=-3.6331 formation_enthalpy_0k_ev_per_atom=-0.44 pbc="T T T"
Pr -1.3934 0.0000 3.4117
Pr 1.5951 0.0000 0.9118
Pr 5.0671 0.0000 9.2425
Pr 8.0555 0.0000 6.7425
Cd -0.0723 0.0000 6.6972
Cd 6.7345 0.0000 3.4571
In 2.0746 0.0000 4.3381
In 4.8968 0.0000 1.2254
In 1.7653 0.0000 8.9288
In 4.5876 0.0000 5.8162